[1]
VASP calculation (PBE) on a relaxed structure of HoGeH2O4.

Unit cell a=6.221 b=6.221 c=6.221 alpha=115.09 beta=98.73 gamma=115.09
Fractional coordinates of all 16 atoms:
H  0.231  0.000  0.231
H  0.519  0.500  0.019
H  0.981  0.500  0.481
H  0.769  0.000  0.769
O  0.624  0.832  0.806
O  0.974  0.168  0.792
O  0.542  0.668  0.224
O  0.126  0.682  0.458
O  0.556  0.332  0.874
O  0.776  0.318  0.444
O  0.194  0.818  0.026
O  0.208  0.182  0.376
Ho  0.500  0.000  0.500
Ho  0.250  0.500  0.750
Ge  0.000  0.000  0.000
Ge  0.750  0.500  0.250

For the density, the calculation gives 5.6 g/cm³. As for the final energy: -5.892 eV/atom.

***

[2]
VASP calculation (PBE) on a relaxed structure of PrMg3.

Unit cell a=5.261 b=5.261 c=7.440 alpha=90.00 beta=90.00 gamma=90.00
Fractional coordinates of all 8 atoms:
Mg  0.000  0.500  0.750
Mg  0.500  0.000  0.750
Mg  0.000  0.000  0.000
Mg  0.500  0.500  0.500
Mg  0.500  0.000  0.250
Mg  0.000  0.500  0.250
Pr  0.000  0.000  0.500
Pr  0.500  0.500  0.000

For the density, the calculation gives 3.4 g/cm³. As for the final energy: -2.480 eV/atom.

***

[3]
VASP calculation (PBE) on a relaxed structure of Ta2NbSb.

Unit cell a=5.304 b=5.295 c=5.295 alpha=89.99 beta=90.00 gamma=90.00
Fractional coordinates of all 8 atoms:
Sb  0.750  0.500  0.000
Sb  0.250  0.000  0.500
Ta  0.000  0.499  0.499
Ta  0.500  0.499  0.499
Ta  0.750  0.001  0.250
Ta  0.250  0.250  0.001
Nb  0.750  0.000  0.750
Nb  0.250  0.750  0.000

For the density, the calculation gives 12.9 g/cm³. As for the final energy: -9.643 eV/atom.

***

[4]
VASP calculation (PBE) on a relaxed structure of NdLuMg.

Unit cell a=5.242 b=5.242 c=5.242 alpha=60.00 beta=60.00 gamma=60.00
Fractional coordinates of all 3 atoms:
Nd  0.750  0.750  0.750
Mg  0.000  0.000  0.000
Lu  0.250  0.250  0.250

For the density, the calculation gives 5.6 g/cm³. As for the final energy: -3.207 eV/atom.

***

[5]
VASP calculation (PBE) on a relaxed structure of Ba2HfS2O2.

Unit cell a=7.380 b=7.380 c=7.380 alpha=139.53 beta=139.53 gamma=58.57
Fractional coordinates of all 7 atoms:
O  0.157  0.157  0.000
O  0.843  0.843  0.000
Hf  0.000  0.000  0.000
S  0.000  0.500  0.500
S  0.500  0.000  0.500
Ba  0.652  0.652  0.000
Ba  0.348  0.348  0.000

For the density, the calculation gives 5.4 g/cm³. As for the final energy: -6.871 eV/atom.

***

[6]
VASP calculation (PBE) on a relaxed structure of ZrCo2As.

Unit cell a=3.625 b=6.902 c=4.916 alpha=90.00 beta=90.00 gamma=90.00
Fractional coordinates of all 8 atoms:
Co  0.000  0.504  0.502
Co  0.500  0.002  0.004
Co  0.500  0.998  0.504
Co  0.000  0.496  0.002
As  0.000  0.816  0.751
As  0.000  0.184  0.251
Zr  0.500  0.312  0.743
Zr  0.500  0.688  0.243

For the density, the calculation gives 7.7 g/cm³. As for the final energy: -7.014 eV/atom.